# 1
Computed, not measured: CoBi2I after structural relaxation at the PBE level of DFT.

a = 5.273 Å, b = 5.273 Å, c = 5.273 Å
α = 60.00°, β = 60.00°, γ = 60.00°
Element x y z (fractional)
Co 0.000 0.000 0.000
Bi 0.250 0.250 0.250
Bi 0.750 0.750 0.750
I 0.500 0.500 0.500

Values from the calculation:
- Crystal system: cubic
- Energy above the most stable polymorph in this dataset: 0.578 eV/atom
- Space-group type: Fm-3m, No. 225
- ΔE_f (raw): 840 meV/atom



# 2
Computed, not measured: CrCo2RuN after structural relaxation at the PBE level of DFT.

a = 3.764 Å, b = 3.764 Å, c = 3.826 Å
α = 90.00°, β = 90.00°, γ = 90.00°
Element x y z (fractional)
Cr 0.000 0.000 0.000
Co 0.000 0.500 0.500
Co 0.500 0.000 0.500
Ru 0.500 0.500 0.000
N 0.000 0.000 0.500

Values from the calculation:
- Crystal system: tetragonal
- Space-group type: P4/mmm, No. 123
- ΔE_f (raw): 76 meV/atom



# 3
Computed, not measured: Mg15ScCd4 after structural relaxation at the PBE level of DFT.

a = 4.541 Å, b = 4.541 Å, c = 21.553 Å
α = 90.00°, β = 90.00°, γ = 90.00°
Element x y z (fractional)
Mg 0.000 0.000 0.000
Mg 0.000 0.000 0.204
Mg 0.000 0.000 0.400
Mg 0.000 0.000 0.600
Mg 0.000 0.000 0.796
Mg 0.000 0.500 0.104
Mg 0.000 0.500 0.301
Mg 0.000 0.500 0.500
Mg 0.000 0.500 0.699
Mg 0.000 0.500 0.896
Mg 0.500 0.000 0.104
Mg 0.500 0.000 0.301
Mg 0.500 0.000 0.500
Mg 0.500 0.000 0.699
Mg 0.500 0.000 0.896
Sc 0.500 0.500 0.000
Cd 0.500 0.500 0.201
Cd 0.500 0.500 0.400
Cd 0.500 0.500 0.600
Cd 0.500 0.500 0.799

Values from the calculation:
- Crystal system: tetragonal
- E_form: -0.065 eV per atom
- Space-group type: P4/mmm, No. 123



# 4
Computed, not measured: MgTlPCl2 after structural relaxation at the PBE level of DFT.

a = 5.304 Å, b = 5.304 Å, c = 5.323 Å
α = 90.00°, β = 90.00°, γ = 90.00°
Element x y z (fractional)
Mg 0.000 0.000 0.000
Tl 0.500 0.500 0.500
P 0.500 0.500 0.000
Cl 0.000 0.500 0.500
Cl 0.500 0.000 0.500

Values from the calculation:
- Crystal system: tetragonal
- Energy above the most stable polymorph in this dataset: 0.674 eV/atom
- Space-group type: P4/mmm, No. 123
- ΔE_f (raw): 96 meV/atom